# 1
First-principles (PBE) data for crystalline Li4MgIn3 at its relaxed geometry, as listed in the Alexandria database.

Calculated values
Space group ... Pmma, No. 51
Volume ... 19.29 Å³/atom
Relative energy among the computed polymorphs ... 0 meV/atom
ρ ... 4.266 g/cm³

abc: 9.7128 6.5462 4.8550
angles: 90.00 90.00 90.00
With the nearest neighbours (Å) after each atom.
Atoms (fractional coordinates):
Li: 0.0000 0.2472 0.0000  6 In 2.92-2.94, 2 Mg 2.94, 1 Li 3.24
Li: 0.0000 0.7528 0.0000  6 In 2.92-2.94, 2 Mg 2.94, 1 Li 3.24
Li: 0.2500 0.2470 0.4981  6 In 2.92-2.94, 2 Mg 2.94, 1 Li 3.23
Li: 0.2500 0.7530 0.4981  6 In 2.92-2.94, 2 Mg 2.94, 1 Li 3.23
Li: 0.5000 0.2472 0.0000  6 In 2.92-2.94, 2 Mg 2.94, 1 Li 3.24
Li: 0.5000 0.7528 0.0000  6 In 2.92-2.94, 2 Mg 2.94, 1 Li 3.24
Li: 0.7500 0.2470 0.5019  6 In 2.92-2.94, 2 Mg 2.94, 1 Li 3.23
Li: 0.7500 0.7530 0.5019  6 In 2.92-2.94, 2 Mg 2.94, 1 Li 3.23
Mg: 0.0000 0.5000 0.5000  8 Li 2.94, 2 In 3.27
Mg: 0.5000 0.5000 0.5000  8 Li 2.94, 2 In 3.27
In: 0.0000 0.0000 0.5000  8 Li 2.92
In: 0.2500 0.0000 0.9984  8 Li 2.92
In: 0.2500 0.5000 0.9985  8 Li 2.94, 2 In 3.27
In: 0.5000 0.0000 0.5000  8 Li 2.92
In: 0.7500 0.0000 0.0016  8 Li 2.92
In: 0.7500 0.5000 0.0015  8 Li 2.94, 2 In 3.27

# 2
First-principles (PBE) data for crystalline KIn2Pb4 at its relaxed geometry, as listed in the Alexandria database.

Calculated values
Space group ... Cmmm, No. 65
Volume ... 33.85 Å³/atom
Relative energy among the computed polymorphs ... 25 meV/atom
ρ ... 7.692 g/cm³

abc: 9.4738 9.4738 5.0379
angles: 90.00 90.00 148.40
With the nearest neighbours (Å) after each atom.
Atoms (fractional coordinates):
K: 0.0000 0.0000 0.0000  8 In 3.88, 8 Pb 4.15-4.25
In: 0.4207 0.5793 0.5000  1 In 2.89, 4 Pb 3.17-3.18
In: 0.5793 0.4207 0.5000  1 In 2.89, 4 Pb 3.17-3.18
Pb: 0.1811 0.8189 0.5000  2 In 3.18, 2 Pb 3.51
Pb: 0.3148 0.6852 0.0000  2 In 3.17, 4 Pb 3.50-3.51
Pb: 0.6852 0.3148 0.0000  2 In 3.17, 4 Pb 3.50-3.51
Pb: 0.8189 0.1811 0.5000  2 In 3.18, 2 Pb 3.51

# 3
First-principles (PBE) data for crystalline Si2SnIr at its relaxed geometry, as listed in the Alexandria database.

Calculated values
Space group ... I-42d, No. 122
Volume ... 23.39 Å³/atom
ρ ... 6.515 g/cm³
ΔE_f (raw) ... 0.07 eV per atom

abc: 6.9770 6.9770 6.9770
angles: 131.39 131.39 71.20
With the nearest neighbours (Å) after each atom.
Atoms (fractional coordinates):
Si: 0.0693 0.6250 0.9443  2 Ir 2.31
Si: 0.3750 0.3193 0.4443  2 Ir 2.31
Si: 0.6807 0.1250 0.0557  2 Ir 2.31
Si: 0.8750 0.9307 0.5557  2 Ir 2.31
Sn: 0.2500 0.7500 0.5000  4 Si 2.67
Sn: 0.5000 0.5000 0.0000  4 Si 2.67
Ir: 0.0000 0.0000 0.0000  4 Si 2.31
Ir: 0.7500 0.2500 0.5000  4 Si 2.31

# 4
First-principles (PBE) data for crystalline LiTb2Er3Se6 at its relaxed geometry, as listed in the Alexandria database.

Calculated values
Space group ... C2/m, No. 12
Volume ... 23.42 Å³/atom
ρ ... 7.684 g/cm³
ΔE_f (raw) ... -1.74 eV per atom

abc: 9.0556 9.0556 8.0955
angles: 102.95 102.95 25.78
With the nearest neighbours (Å) after each atom.
Atoms (fractional coordinates):
Li: 0.0000 0.0000 0.0000  6 Se 2.81-2.83
Tb: 0.3306 0.3306 0.6593  6 Se 2.86-2.92
Tb: 0.6694 0.6694 0.3407  6 Se 2.86-2.92
Er: 0.0000 0.0000 0.5000  6 Se 2.81-2.89
Er: 0.3330 0.3330 0.1706  6 Se 2.81-2.91
Er: 0.6670 0.6670 0.8294  6 Se 2.81-2.91
Se: 0.1638 0.1638 0.0778  1 Li 2.81, 3 Er 2.86-2.91, 2 Tb 2.92
Se: 0.1635 0.1635 0.5870  3 Er 2.81, 3 Tb 2.86-2.87
Se: 0.4997 0.4997 0.2442  2 Li 2.83, 3 Er 2.86-2.89, 1 Tb 2.92
Se: 0.5003 0.5003 0.7558  2 Li 2.83, 3 Er 2.86-2.89, 1 Tb 2.92
Se: 0.8365 0.8365 0.4130  3 Er 2.81, 3 Tb 2.86-2.87
Se: 0.8362 0.8362 0.9222  1 Li 2.81, 3 Er 2.86-2.91, 2 Tb 2.92

# 5
First-principles (PBE) data for crystalline BaLiAl2 at its relaxed geometry, as listed in the Alexandria database.

Calculated values
Space group ... Fm-3m, No. 225
Volume ... 26.67 Å³/atom
Relative energy among the computed polymorphs ... 266 meV/atom
ρ ... 3.086 g/cm³

abc: 5.3233 5.3233 5.3233
angles: 60.00 60.00 60.00
With the nearest neighbours (Å) after each atom.
Atoms (fractional coordinates):
Ba: 0.0000 0.0000 0.0000  8 Al 3.26
Li: 0.5000 0.5000 0.5000  8 Al 3.26
Al: 0.2500 0.2500 0.2500  4 Ba 3.26, 4 Li 3.26
Al: 0.7500 0.7500 0.7500  4 Ba 3.26, 4 Li 3.26

# 6
First-principles (PBE) data for crystalline Ce4As5Se at its relaxed geometry, as listed in the Alexandria database.

Calculated values
Space group ... C2/m, No. 12
Volume ... 24.27 Å³/atom
ρ ... 6.939 g/cm³
ΔE_f (raw) ... -1.19 eV per atom

abc: 7.9759 7.9759 7.9377
angles: 108.69 108.69 30.63
With the nearest neighbours (Å) after each atom.
Atoms (fractional coordinates):
Ce: 0.0691 0.0691 0.2867  6 As 3.02-3.07, 2 Se 3.10
Ce: 0.3135 0.3135 0.2406  5 As 2.92-2.95, 1 Se 2.92
Ce: 0.6865 0.6865 0.7594  5 As 2.92-2.95, 1 Se 2.92
Ce: 0.9309 0.9309 0.7133  6 As 3.02-3.07, 2 Se 3.10
As: 0.1316 0.1316 0.9646  5 Ce 2.93-3.07, 2 As 3.00
As: 0.2798 0.2798 0.6297  2 As 2.87, 4 Ce 2.92-3.04
As: 0.5000 0.5000 0.0000  4 As 3.00, 4 Ce 3.02
As: 0.7202 0.7202 0.3703  2 As 2.87, 4 Ce 2.92-3.04
As: 0.8684 0.8684 0.0354  5 Ce 2.93-3.07, 2 As 3.00
Se: 0.5000 0.5000 0.5000  6 Ce 2.92-3.10

# 7
First-principles (PBE) data for crystalline La3Sm7Er at its relaxed geometry, as listed in the Alexandria database.

Calculated values
Calculated total energy ... -4.6464 eV per atom
Space group ... P-1, No. 2
Volume ... 35.08 Å³/atom
ρ ... 7.042 g/cm³

abc: 6.6315 6.8583 8.8016
angles: 100.31 98.52 96.08
With the nearest neighbours (Å) after each atom.
Atoms (fractional coordinates):
La: 0.0000 0.0000 0.0000  8 Sm 3.49-3.83, 4 La 3.83-3.87
La: 0.1833 0.5608 0.1719  6 Sm 3.43-3.79, 2 La 3.50-3.83
La: 0.8167 0.4392 0.8281  6 Sm 3.43-3.79, 2 La 3.50-3.83
Sm: 0.0116 0.7713 0.5755  6 Sm 3.40-3.76, 1 Er 3.65, 2 La 3.72-3.80
Sm: 0.2937 0.2712 0.7908  1 Er 3.43, 4 La 3.48-3.79, 6 Sm 3.49-3.76
Sm: 0.4326 0.7882 0.8530  6 Sm 3.40-3.64, 2 La 3.65-3.68, 1 Er 3.72
Sm: 0.5000 0.5000 0.5000  2 La 3.43, 2 Er 3.43, 6 Sm 3.49-3.60
Sm: 0.5674 0.2118 0.1470  6 Sm 3.40-3.64, 2 La 3.65-3.68, 1 Er 3.72
Sm: 0.7063 0.7288 0.2092  1 Er 3.43, 4 La 3.48-3.79, 6 Sm 3.49-3.76
Sm: 0.9884 0.2287 0.4245  6 Sm 3.40-3.76, 1 Er 3.65, 2 La 3.72-3.80
Er: 0.5000 0.0000 0.5000  8 Sm 3.43-3.72

# 8
First-principles (PBE) data for crystalline MgBP2Ir at its relaxed geometry, as listed in the Alexandria database.

Calculated values
Space group ... P4/mmm, No. 123
Volume ... 15.05 Å³/atom
Relative energy among the computed polymorphs ... 0 meV/atom
ρ ... 6.382 g/cm³

abc: 4.2990 4.2990 4.0728
angles: 90.00 90.00 90.00
With the nearest neighbours (Å) after each atom.
Atoms (fractional coordinates):
Mg: 0.0000 0.0000 0.0000  8 P 2.96, 4 Ir 3.04
B: 0.5000 0.5000 0.5000  2 Ir 2.04, 4 P 2.15
P: 0.0000 0.5000 0.5000  2 B 2.15
P: 0.5000 0.0000 0.5000  2 B 2.15
Ir: 0.5000 0.5000 0.0000  2 B 2.04

# 9
First-principles (PBE) data for crystalline Li3ZrCl at its relaxed geometry, as listed in the Alexandria database.

Calculated values
Space group ... Pm-3m, No. 221
Volume ... 35.47 Å³/atom
Relative energy among the computed polymorphs ... 807 meV/atom
ρ ... 1.381 g/cm³
ΔE_f (raw) ... 0.87 eV per atom

abc: 5.6181 5.6181 5.6181
angles: 90.00 90.00 90.00
With the nearest neighbours (Å) after each atom.
Atoms (fractional coordinates):
Li: 0.0000 0.0000 0.5000  2 Zr 2.81
Li: 0.0000 0.5000 0.0000  2 Zr 2.81
Li: 0.5000 0.0000 0.0000  2 Zr 2.81
Zr: 0.0000 0.0000 0.0000  6 Li 2.81
Cl: 0.5000 0.5000 0.5000  12 Li 3.97

# 10
First-principles (PBE) data for crystalline SrPmInCu at its relaxed geometry, as listed in the Alexandria database.

Calculated values
Calculated total energy ... -3.5009 eV per atom
Space group ... F-43m, No. 216
Volume ... 28.09 Å³/atom
ρ ... 6.075 g/cm³

abc: 5.4161 5.4161 5.4161
angles: 60.00 60.00 60.00
With the nearest neighbours (Å) after each atom.
Atoms (fractional coordinates):
Sr: 0.0000 0.0000 0.0000  4 Cu 3.32, 4 In 3.32
Pm: 0.5000 0.5000 0.5000  4 Cu 3.32, 4 In 3.32
In: 0.2500 0.2500 0.2500  4 Pm 3.32, 4 Sr 3.32
Cu: 0.7500 0.7500 0.7500  4 Pm 3.32, 4 Sr 3.32

# 11
First-principles (PBE) data for crystalline SrLa2TlFe at its relaxed geometry, as listed in the Alexandria database.

Calculated values
Space group ... P4/mmm, No. 123
Volume ... 31.44 Å³/atom
Relative energy among the computed polymorphs ... 27 meV/atom
ρ ... 6.609 g/cm³

abc: 5.1631 5.1631 5.8970
angles: 90.00 90.00 90.00
With the nearest neighbours (Å) after each atom.
Atoms (fractional coordinates):
Sr: 0.0000 0.0000 0.0000  2 Fe 2.95
La: 0.0000 0.5000 0.5000  2 Fe 2.58
La: 0.5000 0.0000 0.5000  2 Fe 2.58
Tl: 0.5000 0.5000 0.0000  4 Sr 3.65, 8 La 3.92
Fe: 0.0000 0.0000 0.5000  4 La 2.58

# 12
First-principles (PBE) data for crystalline Hf2ScAgO at its relaxed geometry, as listed in the Alexandria database.

Calculated values
Space group ... P4/mmm, No. 123
Volume ... 17.15 Å³/atom
ρ ... 10.182 g/cm³
ΔE_f (raw) ... -1.07 eV per atom

abc: 4.4033 4.4033 4.4226
angles: 90.00 90.00 90.00
With the nearest neighbours (Å) after each atom.
Atoms (fractional coordinates):
Hf: 0.0000 0.5000 0.0000  2 O 2.20
Hf: 0.5000 0.0000 0.0000  2 O 2.20
Sc: 0.0000 0.0000 0.5000  2 O 2.21
Ag: 0.5000 0.5000 0.5000  4 Sc 3.11, 8 Hf 3.12
O: 0.0000 0.0000 0.0000  4 Hf 2.20, 2 Sc 2.21